No. 1
Computed, not measured: a relaxed structure of K2ReRu at the PBE level of DFT.

Theoretical density, g/cm3: 5.21
Formation enthalpy at 0 K, eV per atom: 0.766
E above lowest polymorph, meV/atom: 0.0
DOS at the Fermi energy, states/eV/f.u.: 4.8
Total magnetic moment, μB/cell: 0.00

Unit cell a=2.883 b=3.910 c=10.335 alpha=90.00 beta=90.00 gamma=90.00
Element x y z (fractional)
K: 0.000 0.000 0.000
K: 0.500 0.500 0.424
Re: 0.000 0.000 0.675
Ru: 0.500 0.500 0.752

=====

No. 2
Computed, not measured: a relaxed structure of KTa2Rh at the PBE level of DFT.

Theoretical density, g/cm3: 9.75
Formation enthalpy at 0 K, eV per atom: 0.422
E above lowest polymorph, meV/atom: 125.8
DOS at the Fermi energy, states/eV/f.u.: 3.9
Total magnetic moment, μB/cell: 0.00

Unit cell a=10.360 b=10.360 c=10.360 alpha=17.30 beta=17.30 gamma=17.30
Element x y z (fractional)
K: 0.000 0.000 0.000
Ta: 0.512 0.512 0.512
Ta: 0.773 0.773 0.773
Rh: 0.240 0.240 0.240

=====

No. 3
Computed, not measured: a relaxed structure of Sr6Pt2Rh at the PBE level of DFT.

Theoretical density, g/cm3: 5.07
Formation enthalpy at 0 K, eV per atom: -0.491
DOS at the Fermi energy, states/eV/f.u.: 4.8
Total magnetic moment, μB/cell: 0.00

Unit cell a=7.406 b=7.406 c=7.025 alpha=90.00 beta=90.00 gamma=120.00
Element x y z (fractional)
Sr: 0.000 0.330 0.247
Sr: 0.000 0.670 0.753
Sr: 0.330 0.000 0.247
Sr: 0.330 0.330 0.753
Sr: 0.670 0.000 0.753
Sr: 0.670 0.670 0.247
Pt: 0.333 0.667 0.000
Pt: 0.667 0.333 0.000
Rh: 0.000 0.000 0.500

=====

No. 4
Computed, not measured: a relaxed structure of CePmSi at the PBE level of DFT.

Theoretical density, g/cm3: 6.79
E above lowest polymorph, meV/atom: 300.3
DOS at the Fermi energy, states/eV/f.u.: 6.0
Total magnetic moment, μB/cell: 0.71

Unit cell a=4.656 b=4.656 c=4.081 alpha=90.00 beta=90.00 gamma=120.00
Element x y z (fractional)
Ce: 0.000 0.000 0.000
Pm: 0.667 0.333 0.415
Si: 0.333 0.667 0.701